Record 1
DFT (PBE) results for Mg2ScHg after structural relaxation.

CIF file:
```
data_Mg2ScHg
_space_group_name_H-M_alt 'P 4/m m m'
_space_group_IT_number 123
_space_group_name_Hall '-P 4 2'
_cell_length_a 3.6574
_cell_length_b 3.6574
_cell_length_c 6.6334
_cell_angle_alpha 90.00
_cell_angle_beta 90.00
_cell_angle_gamma 90.00
loop_
_atom_site_label
_atom_site_fract_x
_atom_site_fract_y
_atom_site_fract_z
Mg1 0.0000 0.0000 0.2370
Sc1 0.5000 0.5000 0.5000
Hg1 0.5000 0.5000 0.0000
```

Its total magnetization is 0.117 μB per atom. Its uncorrected energy is -2.59 eV per atom.

---

Record 2
DFT (PBE) results for ErCdSi after structural relaxation.

CIF file:
```
data_ErCdSi
_space_group_name_H-M_alt 'F d d d'
_space_group_IT_number 70
_cell_length_a 9.6429
_cell_length_b 9.8873
_cell_length_c 13.1904
_cell_angle_alpha 90.00
_cell_angle_beta 90.00
_cell_angle_gamma 90.00
loop_
_space_group_symop_operation_xyz
'x,y,z'
'-x,-y,-z'
'-x+1/4,-y+1/4,z'
'x+1/4,y+1/4,-z'
'x,-y+1/4,-z+1/4'
'-x,y+1/4,z+1/4'
'-x+1/4,y,-z+1/4'
'x+1/4,-y,z+1/4'
'x,y+1/2,z+1/2'
'-x,-y+1/2,-z+1/2'
'-x+1/4,-y+3/4,z+1/2'
'x+1/4,y+3/4,-z+1/2'
'x,-y+3/4,-z+3/4'
'-x,y+3/4,z+3/4'
'-x+1/4,y+1/2,-z+3/4'
'x+1/4,-y+1/2,z+3/4'
'x+1/2,y,z+1/2'
'-x+1/2,-y,-z+1/2'
'-x+3/4,-y+1/4,z+1/2'
'x+3/4,y+1/4,-z+1/2'
'x+1/2,-y+1/4,-z+3/4'
'-x+1/2,y+1/4,z+3/4'
'-x+3/4,y,-z+3/4'
'x+3/4,-y,z+3/4'
'x+1/2,y+1/2,z'
'-x+1/2,-y+1/2,-z'
'-x+3/4,-y+3/4,z'
'x+3/4,y+3/4,-z'
'x+1/2,-y+3/4,-z+1/4'
'-x+1/2,y+3/4,z+1/4'
'-x+3/4,y+1/2,-z+1/4'
'x+3/4,-y+1/2,z+1/4'
loop_
_atom_site_label
_atom_site_fract_x
_atom_site_fract_y
_atom_site_fract_z
Er1 0.1250 0.1250 0.2702
Cd1 0.0000 0.0000 0.5000
Si1 0.0924 0.3750 0.3750
```

Its total magnetization is 0.000 μB per atom. Its uncorrected energy is -3.81 eV per atom.

---

Record 3
DFT (PBE) results for Hg4TeW after structural relaxation.

CIF file:
```
data_Hg4TeW
_space_group_name_H-M_alt 'F -4 3 m'
_space_group_IT_number 216
_space_group_name_Hall 'F -4 2 3'
_cell_length_a 8.2585
_cell_length_b 8.2585
_cell_length_c 8.2585
_cell_angle_alpha 90.00
_cell_angle_beta 90.00
_cell_angle_gamma 90.00
loop_
_atom_site_label
_atom_site_fract_x
_atom_site_fract_y
_atom_site_fract_z
Hg1 0.1254 0.1254 0.1254
Te1 0.2500 0.2500 0.7500
W1 0.0000 0.0000 0.5000
```

Its total magnetization is 0.359 μB per atom. Its uncorrected energy is -1.85 eV per atom.

---

Record 4
DFT (PBE) results for Pm8Sm5Er after structural relaxation.

CIF file:
```
data_Pm8Sm5Er
_space_group_name_H-M_alt 'I -4'
_space_group_IT_number 82
_cell_length_a 9.7525
_cell_length_b 9.7525
_cell_length_c 10.2362
_cell_angle_alpha 90.00
_cell_angle_beta 90.00
_cell_angle_gamma 90.00
loop_
_space_group_symop_operation_xyz
'x,y,z'
'y,-x,-z'
'-x,-y,z'
'-y,x,-z'
'x+1/2,y+1/2,z+1/2'
'y+1/2,-x+1/2,-z+1/2'
'-x+1/2,-y+1/2,z+1/2'
'-y+1/2,x+1/2,-z+1/2'
loop_
_atom_site_label
_atom_site_fract_x
_atom_site_fract_y
_atom_site_fract_z
Pm1 0.0694 0.1734 0.1552
Pm2 0.0850 0.3191 0.4962
Sm1 0.0000 0.5000 0.2500
Sm2 0.1069 0.2913 0.8256
Er1 0.0000 0.0000 0.5000
```

Its total magnetization is 0.000 μB per atom. Its uncorrected energy is -4.48 eV per atom.

---

Record 5
DFT (PBE) results for CaNd7Dy12 after structural relaxation.

CIF file:
```
data_CaNd7Dy12
_space_group_name_H-M_alt 'I m -3 m'
_space_group_IT_number 229
_space_group_name_Hall '-I 4 2 3'
_cell_length_a 11.3830
_cell_length_b 11.3830
_cell_length_c 11.3830
_cell_angle_alpha 90.00
_cell_angle_beta 90.00
_cell_angle_gamma 90.00
loop_
_atom_site_label
_atom_site_fract_x
_atom_site_fract_y
_atom_site_fract_z
Ca1 0.0000 0.0000 0.0000
Nd1 0.0000 0.0000 0.5000
Nd2 0.2500 0.2500 0.2500
Dy1 0.0000 0.2541 0.2541
```

Its total magnetization is 0.000 μB per atom. Its uncorrected energy is -3.92 eV per atom.

---

Record 6
DFT (PBE) results for In2BiS after structural relaxation.

CIF file:
```
data_In2BiS
_space_group_name_H-M_alt 'F m -3 m'
_space_group_IT_number 225
_space_group_name_Hall '-F 4 2 3'
_cell_length_a 7.4591
_cell_length_b 7.4591
_cell_length_c 7.4591
_cell_angle_alpha 90.00
_cell_angle_beta 90.00
_cell_angle_gamma 90.00
loop_
_atom_site_label
_atom_site_fract_x
_atom_site_fract_y
_atom_site_fract_z
In1 0.2500 0.2500 0.2500
Bi1 0.0000 0.0000 0.0000
S1 0.0000 0.0000 0.5000
```

The excess energy over the best structure of this formula in the dataset is 220 meV/atom. Its total magnetization is 0.000 μB per atom. Its uncorrected energy is -3.29 eV per atom.

---

What is the formula in the sixth record? In2BiS